Below is a relaxed LiTm2Mg3 crystal, with properties calculated at the GGA-PBE level.

```
LiTm2Mg3
1.0
3.610 0.000 0.000
0.000 3.610 0.000
0.000 0.000 11.372
Li Tm Mg
1 2 3
Direct
0.000 0.000 0.000
0.000 0.000 0.332
0.000 0.000 0.668
0.500 0.500 0.145
0.500 0.500 0.500
0.500 0.500 0.855
```

Calculated formation energy ... -49 meV/atom
Crystal system ... tetragonal

Below is a relaxed FeAgBi2 crystal, with properties calculated at the GGA-PBE level.

```
FeAgBi2
1.0
0.000 3.502 3.502
3.502 0.000 3.502
3.502 3.502 0.000
Fe Ag Bi
1 1 2
Direct
0.000 0.000 0.000
0.500 0.500 0.500
0.250 0.250 0.250
0.750 0.750 0.750
```

Calculated formation energy ... 597 meV/atom
Crystal system ... cubic

Below is a relaxed Pa3Zn4Pt4 crystal, with properties calculated at the GGA-PBE level.

```
Pa3Zn4Pt4
1.0
-1.993 3.768 7.021
1.993 -3.768 7.021
1.993 3.768 -7.021
Pa Zn Pt
3 4 4
Direct
0.000 0.000 0.000
0.376 0.876 0.500
0.624 0.124 0.500
0.021 0.324 0.697
0.372 0.676 0.697
0.628 0.324 0.303
0.979 0.676 0.303
0.224 0.224 0.000
0.300 0.500 0.800
0.700 0.500 0.200
0.776 0.776 0.000
```

Calculated formation energy ... -710 meV/atom
Crystal system ... orthorhombic

Below is a relaxed AcLaP2 crystal, with properties calculated at the GGA-PBE level.

```
AcLaP2
1.0
2.141 1.236 7.450
-2.141 1.236 7.450
0.000 -2.472 7.450
Ac La P
1 1 2
Direct
0.000 0.000 0.000
0.830 0.830 0.830
0.416 0.416 0.416
0.579 0.579 0.579
```

Relative energy among the computed polymorphs ... 147 meV per atom
Calculated formation energy ... -1367 meV/atom
Crystal system ... trigonal

Below is a relaxed DyNp3Pd12 crystal, with properties calculated at the GGA-PBE level.

```
DyNp3Pd12
1.0
4.141 0.000 0.000
0.000 4.141 0.000
0.000 0.000 16.511
Dy Np Pd
1 3 12
Direct
0.000 0.000 0.000
0.000 0.000 0.248
0.000 0.000 0.500
0.000 0.000 0.752
0.000 0.500 0.125
0.000 0.500 0.375
0.000 0.500 0.625
0.000 0.500 0.875
0.500 0.000 0.125
0.500 0.000 0.375
0.500 0.000 0.625
0.500 0.000 0.875
0.500 0.500 0.000
0.500 0.500 0.250
0.500 0.500 0.500
0.500 0.500 0.750
```

Calculated formation energy ... -562 meV/atom
Crystal system ... tetragonal

Below is a relaxed Sb5Se3 crystal, with properties calculated at the GGA-PBE level.

```
Sb5Se3
1.0
8.681 0.000 0.000
-4.341 7.518 0.000
0.000 0.000 6.411
Sb Se
10 6
Direct
0.000 0.204 0.250
0.000 0.796 0.750
0.204 0.000 0.250
0.204 0.204 0.750
0.333 0.667 0.000
0.333 0.667 0.500
0.667 0.333 0.000
0.667 0.333 0.500
0.796 0.000 0.750
0.796 0.796 0.250
0.000 0.403 0.750
0.000 0.597 0.250
0.403 0.000 0.750
0.403 0.403 0.250
0.597 0.000 0.250
0.597 0.597 0.750
```

Relative energy among the computed polymorphs ... 302 meV per atom
Crystal system ... hexagonal

Below is a relaxed CaAgS2N crystal, with properties calculated at the GGA-PBE level.

```
CaAgS2N
1.0
5.009 0.000 0.000
0.000 5.009 0.000
0.000 0.000 4.042
Ca Ag S N
1 1 2 1
Direct
0.000 0.000 0.000
0.500 0.500 0.500
0.000 0.500 0.500
0.500 0.000 0.500
0.500 0.500 0.000
```

Relative energy among the computed polymorphs ... 0 meV per atom
Crystal system ... tetragonal

Below is a relaxed KCa2BeMo crystal, with properties calculated at the GGA-PBE level.

```
KCa2BeMo
1.0
5.775 0.000 0.000
0.000 5.775 0.000
0.000 0.000 4.728
K Ca Be Mo
1 2 1 1
Direct
0.000 0.000 0.000
0.000 0.500 0.500
0.500 0.000 0.500
0.500 0.500 0.000
0.500 0.500 0.500
```

Calculated formation energy ... 874 meV/atom
Crystal system ... tetragonal

Below is a relaxed CsRbSeN2 crystal, with properties calculated at the GGA-PBE level.

```
CsRbSeN2
1.0
5.640 0.000 0.000
0.000 5.640 0.000
0.000 0.000 6.615
Cs Rb Se N
1 1 1 2
Direct
0.000 0.000 0.000
0.500 0.500 0.500
0.500 0.500 0.000
0.000 0.500 0.500
0.500 0.000 0.500
```

Uncorrected energy ... -14.991 eV for the cell shown
Crystal system ... tetragonal

- Which formula does entry 4 have?
  AcLaP2